No. 1
Entry from the Alexandria database: a PBEsol-optimized structure of NbSiPd3 (meta-GGA SCAN).

Cell: 4.4198 4.4198 4.4198 Å, 90.00 90.00 90.00°
Positions (direct):
Nb: 0.0000 0.0000 0.0000
Si: 0.5000 0.5000 0.5000
Pd: 0.0000 0.5000 0.5000
Pd: 0.5000 0.0000 0.5000
Pd: 0.5000 0.5000 0.0000

Computed properties:
Energy relative to the elements, uncorrected in eV per atom: 0.181
Space-group type: Pm-3m
Crystal system: cubic

No. 2
Entry from the Alexandria database: a PBEsol-optimized structure of HoSI (meta-GGA SCAN).

Cell: 4.0842 5.2796 9.3771 Å, 90.00 90.00 90.00°
Positions (direct):
Ho: 0.2500 0.2500 0.1171
Ho: 0.7500 0.7500 0.8829
S: 0.2500 0.7500 0.0702
S: 0.7500 0.2500 0.9298
I: 0.2500 0.7500 0.6488
I: 0.7500 0.2500 0.3512

Computed properties:
Energy relative to the elements, uncorrected in eV per atom: -2.010
Space-group type: Pmmn
Crystal system: orthorhombic

No. 3
Entry from the Alexandria database: a PBEsol-optimized structure of LiZrMn2 (meta-GGA SCAN).

Cell: 4.7290 4.7290 4.7290 Å, 131.16 131.16 71.56°
Positions (direct):
Li: 0.0000 0.0000 0.0000
Zr: 0.5000 0.5000 0.0000
Mn: 0.2500 0.7500 0.5000
Mn: 0.7500 0.2500 0.5000

Computed properties:
Space-group type: I4/mmm
Crystal system: tetragonal
Energy relative to the elements in eV per atom: 0.0961

No. 4
Entry from the Alexandria database: a PBEsol-optimized structure of TcOs2Au (meta-GGA SCAN).

Cell: 2.7345 2.7345 7.8396 Å, 90.00 90.00 90.00°
Positions (direct):
Tc: 0.0000 0.0000 0.0000
Os: 0.5000 0.5000 0.2336
Os: 0.5000 0.5000 0.7664
Au: 0.0000 0.0000 0.5000

Computed properties:
Space-group type: P4/mmm
Crystal system: tetragonal
Energy relative to the elements in eV per atom: 0.3503

No. 5
Entry from the Alexandria database: a PBEsol-optimized structure of Zr2ScFe (meta-GGA SCAN).

Cell: 5.6496 5.6496 5.6496 Å, 146.91 130.14 61.16°
Positions (direct):
Zr: 0.0000 0.0000 0.0000
Zr: 0.7060 0.2060 0.5000
Sc: 0.4117 0.4117 0.0000
Fe: 0.2012 0.7012 0.5000

Computed properties:
Space-group type: Imm2
Crystal system: orthorhombic
Energy relative to the elements in eV per atom: -0.0225

No. 6
Entry from the Alexandria database: a PBEsol-optimized structure of TcAs2P (meta-GGA SCAN).

Cell: 3.0279 3.0279 6.9191 Å, 90.00 90.00 90.00°
Positions (direct):
Tc: 0.0000 0.0000 0.0000
As: 0.0000 0.0000 0.6027
As: 0.5000 0.5000 0.2333
P: 0.5000 0.5000 0.8180

Computed properties:
Space-group type: P4mm
Crystal system: tetragonal
Energy relative to the elements in eV per atom: -0.0100

No. 7
Entry from the Alexandria database: a PBEsol-optimized structure of TcAsRh (meta-GGA SCAN).

Cell: 4.1119 4.1119 4.1119 Å, 60.00 60.00 60.00°
Positions (direct):
Tc: 0.0000 0.0000 0.0000
As: 0.7500 0.7500 0.7500
Rh: 0.2500 0.2500 0.2500

Computed properties:
Space-group type: F-43m
Crystal system: cubic
Energy relative to the elements in eV per atom: -0.0063

No. 8
Entry from the Alexandria database: a PBEsol-optimized structure of SrTaPb2 (meta-GGA SCAN).

Cell: 5.2037 5.2037 6.5536 Å, 99.29 99.29 36.91°
Positions (direct):
Sr: 0.0000 0.0000 0.0000
Ta: 0.5000 0.5000 0.5000
Pb: 0.2371 0.2371 0.7047
Pb: 0.7629 0.7629 0.2953

Computed properties:
Space-group type: C2/m
Crystal system: monoclinic
Energy relative to the elements in eV per atom: 0.2099